# 1
The following is a PBE calculation of crystalline Mg2CdN at its relaxed geometry, from Alexandria.

Cell: 6.2616 6.2616 6.1970 Å, 59.65 59.65 90.00°
Fractional positions:
Mg 0.8750 0.7143 0.7500
Mg 0.3750 0.5357 0.7500
Mg 0.4643 0.1250 0.2500
Mg 0.2857 0.6250 0.2500
N 0.2500 0.7500 0.5000
N 0.5000 0.5000 0.0000
Cd 0.7500 0.2500 0.5000
Cd 0.0000 0.0000 0.0000

Results
The calculation puts the energy relative to the elements, uncorrected at -200 meV per atom. The value obtained for the magnetization is 0.00 μB/atom. The calculated volume is 21.250 A^3/atom. For the energy relative to the lowest polymorph listed for this composition, the calculation gives 0.96 eV/f.u.

=====

# 2
The following is a PBE calculation of crystalline MgCdN2 at its relaxed geometry, from Alexandria.

Cell: 4.0664 4.0664 4.0664 Å, 60.00 60.00 60.00°
Fractional positions:
N 0.7500 0.7500 0.7500
N 0.2500 0.2500 0.2500
Mg 0.0000 0.0000 0.0000
Cd 0.5000 0.5000 0.5000

Results
The calculation puts the energy relative to the elements, uncorrected at 841 meV per atom. The value obtained for the magnetization is 0.45 μB/atom. The calculated volume is 11.887 A^3/atom.

=====

# 3
The following is a PBE calculation of crystalline MgCdN2 at its relaxed geometry, from Alexandria.

Cell: 6.5031 6.5031 6.5031 Å, 30.83 30.83 30.83°
Fractional positions:
Cd 0.5000 0.5000 0.5000
Mg 0.0000 0.0000 0.0000
N 0.8938 0.8938 0.8938
N 0.1062 0.1062 0.1062

Results
The calculation puts the energy relative to the elements, uncorrected at 1045 meV per atom. The value obtained for the magnetization is 0.00 μB/atom. The calculated volume is 16.017 A^3/atom.